[1]
SiTc2IF | PBE | optimized geometry

```
SiTc2IF
1.0
4.7594 0.0000 0.0000
0.0000 3.6100 0.0000
0.0000 0.0000 4.7594
I Si Tc F
1 1 2 1
Cartesian
2.3797 1.8050 2.3797 I
0.0000 1.8050 0.0000 Si
0.0000 0.0000 2.3797 Tc
2.3797 0.0000 0.0000 Tc
0.0000 0.0000 0.0000 F
```

Properties
The value obtained for the uncorrected formation energy is 1044 meV/atom. The calculation puts the calculated total energy at -4.87 eV/atom. The calculation puts the magnetization at 0.0 μB/cell.


[2]
PrB4 | PBE | optimized geometry

```
PrB4
1.0
-0.9751 -6.4938 3.1201
0.7122 -3.2200 -6.4792
4.0863 -0.3211 0.6087
Pr B
4 16
Cartesian
0.3080 -3.3853 -3.8535 Pr
-0.0838 -7.0652 -3.1648 Pr
-0.1792 -2.6486 -0.1942 Pr
-0.5710 -6.3286 0.4944 Pr
2.0533 -3.7627 -1.6644 B
1.7699 -6.2722 -1.0860 B
1.7497 -4.7115 -0.1268 B
2.0736 -5.3235 -2.6235 B
0.8408 -0.0661 0.1253 B
3.1140 -5.1120 -1.1960 B
3.2455 -0.2550 0.4835 B
0.7093 -4.9230 -1.5543 B
1.5324 -4.2633 1.5685 B
2.2505 -2.0590 -2.0895 B
1.5727 -7.9759 -0.6608 B
2.2909 -5.7717 -4.3188 B
2.1288 -0.9741 -0.7001 B
2.5579 -4.3837 -5.3792 B
1.2653 -5.6513 2.6289 B
1.6945 -9.0608 -2.0503 B
```

Properties
The calculation puts the calculated total energy at -6.84 eV/atom. Its formation enthalpy at 0 K is -0.5416 eV per atom. The calculation puts the magnetization at 0.0 μB/cell. The energy relative to the lowest polymorph listed for this composition comes out at 0.0 kJ/mol of formula units.


[3]
Pm2BiB | PBE | optimized geometry

```
Pm2BiB
1.0
-0.2547 -4.0694 0.8733
4.4023 0.1838 2.1406
-2.1276 1.0528 4.2851
B Bi Pm
1 1 2
Cartesian
-0.1274 -2.0347 0.4367 B
1.0100 -1.4164 3.6495 Bi
-1.0638 0.5264 2.1425 Pm
2.2012 0.0919 1.0703 Pm
```

Properties
The calculation puts the calculated total energy at -4.87 eV/atom. Its formation enthalpy at 0 K is 0.1457 eV per atom. The calculation puts the magnetization at 0.0 μB/cell.


[4]
Tb2Dy3Tl7 | PBE | optimized geometry

```
Tb2Dy3Tl7
1.0
-1.7178 -1.5773 4.8803
3.1867 -4.1985 -0.2353
7.7542 8.8870 5.6016
Tb Dy Tl
2 3 7
Cartesian
8.1043 2.6287 3.7022 Tb
2.8366 2.0598 1.6642 Tb
0.7345 -2.8879 2.3225 Dy
3.5799 -0.8217 3.9919 Dy
5.6432 3.9329 6.2548 Dy
7.9444 5.7688 4.6608 Tl
5.7156 0.8942 2.3008 Tl
0.0000 0.0000 0.0000 Tl
2.9965 -1.0803 0.7056 Tl
0.6553 0.3109 3.3285 Tl
8.5678 2.8003 6.9182 Tl
5.2253 3.7944 3.0655 Tl
```

Properties
The calculation puts the calculated total energy at -3.39 eV/atom. Its formation enthalpy at 0 K is -0.0877 eV per atom. The calculation puts the magnetization at 0.0 μB/cell.


[5]
Rb5In2Bi4 | PBE | optimized geometry

```
Rb5In2Bi4
1.0
-2.2367 0.8719 4.1118
-9.6805 -3.6163 -4.4991
11.4925 -7.3489 5.0532
Rb In Bi
5 2 4
Cartesian
-4.8859 -5.0173 -1.5939 Rb
4.4612 -5.0762 6.2598 Rb
-0.0638 -3.6956 0.7489 Rb
-1.1183 0.4359 2.0559 Rb
-0.3608 -6.3978 3.9170 Rb
-3.6741 -2.4036 1.2677 In
3.2495 -7.6898 3.3982 In
-3.4103 -5.1685 1.9975 Bi
2.0756 -8.9450 5.7825 Bi
2.9856 -4.9249 2.6684 Bi
-2.5003 -1.1485 -1.1166 Bi
```

Properties
The calculation puts the calculated total energy at -2.57 eV/atom. Its formation enthalpy at 0 K is -0.2172 eV per atom. The calculation puts the magnetization at 0.0 μB/cell.


[6]
Li3RuRh3O8 | PBE | optimized geometry

```
Li3RuRh3O8
1.0
-2.9645 0.4675 5.4039
-3.2022 -0.0722 -5.2858
2.8216 -4.8955 1.9714
Li Ru Rh O
3 1 3 8
Cartesian
0.0000 0.0000 0.0000 Li
-1.6011 -0.0361 -2.6429 Li
-3.0833 0.1976 0.0590 Li
1.4108 -2.4477 0.9857 Ru
-0.0715 -2.2140 3.6877 Rh
-1.6726 -2.2501 1.0447 Rh
-0.1903 -2.4839 -1.6572 Rh
-1.6436 -1.2581 -0.7929 O
-1.7015 -3.2422 2.8824 O
-3.1728 -1.0642 1.8868 O
-0.1723 -3.4361 0.2027 O
-1.5263 -1.0270 4.6045 O
-1.8188 -3.4732 -2.5150 O
-0.0022 -1.2673 1.8262 O
-3.3430 -3.2329 0.2633 O
```

Properties
The value obtained for the uncorrected formation energy is -1102 meV/atom. The calculation puts the calculated total energy at -6.22 eV/atom. The calculation puts the magnetization at 2.1 μB/cell.